Entry 1:
{
  "formula": "La15Dy2In2",
  "functional": "PBE",
  "state": "relaxed",
  "lattice": [[5.5312, 3.1934, 6.1797], [-5.5312, 3.1934, 6.1797], [0.0000, -6.3869, 6.1797]],
  "species": ["La", "La", "La", "La", "La", "La", "La", "La", "La", "La", "La", "La", "La", "La", "La", "Dy", "Dy", "In", "In"],
  "frac_coords": [[0.0000, 0.0000, 0.5000], [0.0000, 0.2912, 0.7088], [0.0000, 0.5000, 0.0000], [0.0000, 0.7088, 0.2912], [0.1762, 0.6029, 0.6029], [0.2912, 0.0000, 0.7088], [0.2912, 0.7088, 0.0000], [0.3971, 0.3971, 0.8238], [0.3971, 0.8238, 0.3971], [0.5000, 0.0000, 0.0000], [0.6029, 0.1762, 0.6029], [0.6029, 0.6029, 0.1762], [0.7088, 0.0000, 0.2912], [0.7088, 0.2912, 0.0000], [0.8238, 0.3971, 0.3971], [0.2946, 0.2946, 0.2946], [0.7054, 0.7054, 0.7054], [0.0944, 0.0944, 0.0944], [0.9056, 0.9056, 0.9056]],
  "space_group": "R-3m, No. 166",
  "dft_energy_ev_per_atom": -4.58,
  "formation_enthalpy_0k_mev_per_atom": 84.6,
  "magnetic_moment_mub_per_cell": 0.00
}

=====

Entry 2:
{
  "formula": "HfV2",
  "functional": "PBE",
  "state": "relaxed",
  "lattice": [[0.0000, 3.6586, 3.6586], [3.6586, 0.0000, 3.6586], [3.6586, 3.6586, 0.0000]],
  "species": ["Hf", "Hf", "V", "V", "V", "V"],
  "frac_coords": [[0.1250, 0.1250, 0.1250], [0.8750, 0.8750, 0.8750], [0.0000, 0.5000, 0.5000], [0.5000, 0.0000, 0.5000], [0.5000, 0.5000, 0.0000], [0.5000, 0.5000, 0.5000]],
  "space_group": "Fd-3m, No. 227",
  "dft_energy_ev_per_atom": -9.36,
  "formation_enthalpy_0k_mev_per_atom": 33.5,
  "magnetic_moment_mub_per_cell": 0.01
}

=====

Entry 3:
{
  "formula": "Pa2CuSi",
  "functional": "PBE",
  "state": "relaxed",
  "lattice": [[5.7051, 0.0000, 0.0000], [0.0000, 3.7941, 0.0000], [-2.7452, 0.0000, 7.6971]],
  "species": ["Pa", "Pa", "Pa", "Pa", "Cu", "Cu", "Si", "Si"],
  "frac_coords": [[0.2114, 0.2500, 0.4174], [0.2760, 0.7500, 0.0639], [0.7240, 0.2500, 0.9361], [0.7886, 0.7500, 0.5826], [0.1534, 0.2500, 0.7809], [0.8466, 0.7500, 0.2191], [0.3637, 0.7500, 0.7091], [0.6363, 0.2500, 0.2909]],
  "space_group": "P2_1/m, No. 11",
  "de_polymorph_kj_per_mol_atoms": 0.0,
  "dft_energy_ev_per_atom": -7.34,
  "magnetic_moment_mub_per_cell": 0.00,
  "e_form_raw_ev_per_atom": -0.21
}

=====

Entry 4:
{
  "formula": "Ta6IrRu5",
  "functional": "PBE",
  "state": "relaxed",
  "lattice": [[7.2243, -2.1614, 0.0000], [7.2243, 2.1614, 0.0000], [-3.4626, 0.0000, 6.1747]],
  "species": ["Ta", "Ta", "Ta", "Ta", "Ta", "Ta", "Ir", "Ru", "Ru", "Ru", "Ru", "Ru"],
  "frac_coords": [[0.0240, 0.0240, 0.2693], [0.3197, 0.3197, 0.5696], [0.3412, 0.3412, 0.0874], [0.6588, 0.6588, 0.9126], [0.6803, 0.6803, 0.4304], [0.9760, 0.9760, 0.7307], [0.5000, 0.5000, 0.5000], [0.1636, 0.1636, 0.6958], [0.1672, 0.1672, 0.1360], [0.5000, 0.5000, 0.0000], [0.8328, 0.8328, 0.8640], [0.8364, 0.8364, 0.3042]],
  "space_group": "C2/m, No. 12",
  "dft_energy_ev_per_atom": -10.94,
  "formation_enthalpy_0k_mev_per_atom": -405.3,
  "magnetic_moment_mub_per_cell": 0.00
}

=====

Entry 5:
{
  "formula": "NiPb2W",
  "functional": "PBE",
  "state": "relaxed",
  "lattice": [[0.0000, 3.4045, 3.4045], [3.4045, 0.0000, 3.4045], [3.4045, 3.4045, 0.0000]],
  "species": ["Ni", "Pb", "Pb", "W"],
  "frac_coords": [[0.0000, 0.0000, 0.0000], [0.2500, 0.2500, 0.2500], [0.7500, 0.7500, 0.7500], [0.5000, 0.5000, 0.5000]],
  "space_group": "Fm-3m, No. 225",
  "de_polymorph_kj_per_mol_atoms": 56.0,
  "dft_energy_ev_per_atom": -5.56,
  "formation_enthalpy_0k_mev_per_atom": 979.4,
  "magnetic_moment_mub_per_cell": 0.00
}

=====

Entry 6:
{
  "formula": "Tb2TmInO",
  "functional": "PBE",
  "state": "relaxed",
  "lattice": [[4.8261, 0.0000, 0.0000], [0.0000, 4.8261, 0.0000], [0.0000, 0.0000, 4.6753]],
  "species": ["Tb", "Tb", "Tm", "In", "O"],
  "frac_coords": [[0.0000, 0.5000, 0.0000], [0.5000, 0.0000, 0.0000], [0.0000, 0.0000, 0.5000], [0.5000, 0.5000, 0.5000], [0.0000, 0.0000, 0.0000]],
  "space_group": "P4/mmm, No. 123",
  "dft_energy_ev_per_atom": -5.71,
  "magnetic_moment_mub_per_cell": 0.00,
  "e_form_raw_ev_per_atom": -1.42
}

=====

Entry 7:
{
  "formula": "ErCo2Ni4",
  "functional": "PBE",
  "state": "relaxed",
  "lattice": [[3.8824, -3.0858, 0.0000], [3.8824, 3.0858, 0.0000], [-2.8649, 0.0000, 3.7566]],
  "species": ["Er", "Co", "Co", "Ni", "Ni", "Ni", "Ni"],
  "frac_coords": [[0.0000, 0.0000, 0.0000], [0.4999, 0.4999, 0.2498], [0.5001, 0.5001, 0.7502], [0.0000, 0.3894, 0.6947], [0.0000, 0.6106, 0.3053], [0.3894, 0.0000, 0.6947], [0.6106, 0.0000, 0.3053]],
  "space_group": "C2/m, No. 12",
  "dft_energy_ev_per_atom": -6.17,
  "formation_enthalpy_0k_mev_per_atom": -185.4,
  "magnetic_moment_mub_per_cell": 4.44
}

=====

Entry 8:
{
  "formula": "NdEuGaNi",
  "functional": "PBE",
  "state": "relaxed",
  "lattice": [[0.0000, 3.6150, 3.6150], [3.6150, 0.0000, 3.6150], [3.6150, 3.6150, 0.0000]],
  "species": ["Nd", "Eu", "Ga", "Ni"],
  "frac_coords": [[0.0000, 0.0000, 0.0000], [0.5000, 0.5000, 0.5000], [0.2500, 0.2500, 0.2500], [0.7500, 0.7500, 0.7500]],
  "space_group": "F-43m, No. 216",
  "dft_energy_ev_per_atom": -6.23,
  "formation_enthalpy_0k_mev_per_atom": -263.3,
  "magnetic_moment_mub_per_cell": 6.86
}

=====

Entry 9:
{
  "formula": "Ba2Ga2Ag",
  "functional": "PBE",
  "state": "relaxed",
  "lattice": [[7.8732, 0.0000, 0.0000], [0.0000, 7.8732, 0.0000], [0.0000, 0.0000, 5.0436]],
  "species": ["Ba", "Ba", "Ba", "Ba", "Ga", "Ga", "Ga", "Ga", "Ag", "Ag"],
  "frac_coords": [[0.1829, 0.3171, 0.0000], [0.3171, 0.8171, 0.0000], [0.6829, 0.1829, 0.0000], [0.8171, 0.6829, 0.0000], [0.1183, 0.6183, 0.5000], [0.3817, 0.1183, 0.5000], [0.6183, 0.8817, 0.5000], [0.8817, 0.3817, 0.5000], [0.0000, 0.0000, 0.5000], [0.5000, 0.5000, 0.5000]],
  "space_group": "P4/mbm, No. 127",
  "de_polymorph_kj_per_mol_atoms": 12.9,
  "dft_energy_ev_per_atom": -2.75,
  "formation_enthalpy_0k_mev_per_atom": -203.9,
  "magnetic_moment_mub_per_cell": 0.00
}

=====

Entry 10:
{
  "formula": "Li3Ca8Mg2",
  "functional": "PBE",
  "state": "relaxed",
  "lattice": [[6.8943, -5.2137, 0.0000], [6.8943, 5.2137, 0.0000], [-2.1612, 0.0000, 6.3784]],
  "species": ["Li", "Li", "Li", "Ca", "Ca", "Ca", "Ca", "Ca", "Ca", "Ca", "Ca", "Mg", "Mg"],
  "frac_coords": [[0.0000, 0.0000, 0.0000], [0.2812, 0.7188, 0.5000], [0.7188, 0.2812, 0.5000], [0.0260, 0.6232, 0.7838], [0.1348, 0.1348, 0.6810], [0.3768, 0.9740, 0.2162], [0.3962, 0.3962, 0.1206], [0.6038, 0.6038, 0.8794], [0.6232, 0.0260, 0.7838], [0.8652, 0.8652, 0.3190], [0.9740, 0.3768, 0.2162], [0.3567, 0.3567, 0.5779], [0.6433, 0.6433, 0.4221]],
  "space_group": "C2/m, No. 12",
  "dft_energy_ev_per_atom": -1.87,
  "formation_enthalpy_0k_mev_per_atom": 45.9,
  "magnetic_moment_mub_per_cell": 0.00
}